# 1
A plane-wave DFT calculation with meta-GGA SCAN was carried out for a crystal of Cr2ReW relaxed with PBEsol.

abc: 3.0063 4.2812 8.3132
angles: 90.00 90.00 90.00
Positions (direct):
Cr 0.0000 0.0000 0.2484
Cr 0.0000 0.0000 0.7516
Cr 0.5000 0.5000 0.2516
Cr 0.5000 0.5000 0.7484
Re 0.0000 0.5000 0.0000
Re 0.5000 0.0000 0.5000
W 0.0000 0.5000 0.5000
W 0.5000 0.0000 0.0000

Output
**Space-group type**: Immm, No. 71
**Density**: 14.71 g/cm³
**Uncorrected energy**: -44.352 eV/atom


# 2
A plane-wave DFT calculation with meta-GGA SCAN was carried out for a crystal of LaTi6O12 relaxed with PBEsol.

abc: 8.0012 8.0012 9.3609
angles: 122.20 122.20 66.99
Positions (direct):
La 0.2233 0.7767 0.0000
La 0.7767 0.2233 0.0000
Ti 0.0229 0.6932 0.5330
Ti 0.1631 0.1631 0.8241
Ti 0.1702 0.4994 0.1807
Ti 0.3068 0.9771 0.4670
Ti 0.3604 0.3604 0.5442
Ti 0.4994 0.1702 0.1807
Ti 0.5006 0.8298 0.8193
Ti 0.6396 0.6396 0.4558
Ti 0.6932 0.0229 0.5330
Ti 0.8298 0.5006 0.8193
Ti 0.8369 0.8369 0.1759
Ti 0.9771 0.3068 0.4670
O 0.1284 0.7884 0.2431
O 0.1312 0.4664 0.9332
O 0.1318 0.1318 0.5961
O 0.1642 0.1642 0.3433
O 0.1669 0.5092 0.6646
O 0.1977 0.1977 0.0688
O 0.2007 0.5319 0.4083
O 0.2116 0.8716 0.7569
O 0.4566 0.4566 0.2552
O 0.4664 0.1312 0.9332
O 0.4681 0.7993 0.5917
O 0.4908 0.8331 0.3354
O 0.5092 0.1669 0.6646
O 0.5319 0.2007 0.4083
O 0.5336 0.8688 0.0668
O 0.5434 0.5434 0.7448
O 0.7884 0.1284 0.2431
O 0.7993 0.4681 0.5917
O 0.8023 0.8023 0.9312
O 0.8331 0.4908 0.3354
O 0.8358 0.8358 0.6567
O 0.8682 0.8682 0.4039
O 0.8688 0.5336 0.0668
O 0.8716 0.2116 0.7569

Output
**Space-group type**: C2/m, No. 12
**Density**: 4.84 g/cm³
**Formation energy from raw total energies**: -3310 meV per atom


# 3
A plane-wave DFT calculation with meta-GGA SCAN was carried out for a crystal of Y2ZnSe4 relaxed with PBEsol.

abc: 8.0252 8.0252 8.0252
angles: 60.00 60.00 60.00
Positions (direct):
Y 0.0000 0.0000 0.0000
Y 0.0000 0.0000 0.5000
Y 0.0000 0.5000 0.0000
Y 0.5000 0.0000 0.0000
Zn 0.3750 0.3750 0.3750
Zn 0.6250 0.6250 0.6250
Se 0.2470 0.7510 0.7510
Se 0.2490 0.2490 0.2490
Se 0.2490 0.2490 0.7530
Se 0.2490 0.7530 0.2490
Se 0.7510 0.2470 0.7510
Se 0.7510 0.7510 0.2470
Se 0.7510 0.7510 0.7510
Se 0.7530 0.2490 0.2490

Output
**Space-group type**: Fd-3m, No. 227
**Density**: 5.08 g/cm³
**Formation energy from raw total energies**: -1729 meV per atom


# 4
A plane-wave DFT calculation with meta-GGA SCAN was carried out for a crystal of LiMnP3O9 relaxed with PBEsol.

abc: 6.5390 6.8263 7.2959
angles: 102.72 92.35 90.10
Positions (direct):
Li 0.1441 0.0828 0.3335
Li 0.8559 0.9172 0.6665
Mn 0.1566 0.5890 0.3556
Mn 0.8434 0.4110 0.6444
P 0.1392 0.7309 0.9505
P 0.3355 0.3888 0.7208
P 0.3518 0.9465 0.7025
P 0.6482 0.0535 0.2975
P 0.6645 0.6112 0.2792
P 0.8608 0.2691 0.0495
O 0.0486 0.2951 0.1793
O 0.1154 0.7899 0.1596
O 0.1657 0.3930 0.5721
O 0.1756 0.8786 0.5607
O 0.2638 0.5247 0.9163
O 0.2983 0.8844 0.8970
O 0.3343 0.1831 0.7841
O 0.4362 0.1095 0.3466
O 0.4559 0.5471 0.3148
O 0.5441 0.4529 0.6852
O 0.5638 0.8905 0.6534
O 0.6657 0.8169 0.2159
O 0.7017 0.1156 0.1030
O 0.7362 0.4753 0.0837
O 0.8244 0.1214 0.4393
O 0.8343 0.6070 0.4279
O 0.8846 0.2101 0.8404
O 0.9514 0.7049 0.8207

Output
**Space-group type**: P-1, No. 2
**Density**: 3.13 g/cm³
**Formation energy from raw total energies**: -2430 meV per atom


Which value of density does entry 3 give? 5.08 g/cm³


Copy entry 1 word for word.
A plane-wave DFT calculation with meta-GGA SCAN was carried out for a crystal of Cr2ReW relaxed with PBEsol.

abc: 3.0063 4.2812 8.3132
angles: 90.00 90.00 90.00
Positions (direct):
Cr 0.0000 0.0000 0.2484
Cr 0.0000 0.0000 0.7516
Cr 0.5000 0.5000 0.2516
Cr 0.5000 0.5000 0.7484
Re 0.0000 0.5000 0.0000
Re 0.5000 0.0000 0.5000
W 0.0000 0.5000 0.5000
W 0.5000 0.0000 0.0000

Output
**Space-group type**: Immm, No. 71
**Density**: 14.71 g/cm³
**Uncorrected energy**: -44.352 eV/atom